The following is a DFT calculation (GGA-PBE) of a relaxed structure of K3AcBi2S6.

a = 7.3551 Å, b = 7.3551 Å, c = 7.8378 Å
α = 99.00°, β = 99.00°, γ = 120.01°
Fractional positions:
K 0.1676 0.8324 0.5000
K 0.8324 0.1676 0.5000
K 0.5000 0.5000 0.5000
Ac 0.0000 0.0000 0.0000
Bi 0.3333 0.6667 0.0000
Bi 0.6667 0.3333 0.0000
S 0.9296 0.5848 0.7885
S 0.7262 0.7262 0.2124
S 0.0704 0.4152 0.2115
S 0.5848 0.9296 0.7885
S 0.2738 0.2738 0.7876
S 0.4152 0.0704 0.2115

Results
Symmetry   C2/m, No. 12
Energy   -4.50 eV/atom